1.
The following is a DFT calculation (PBE) of a relaxed BeInNi2 crystal.

```
4
Lattice="1.906 1.101 4.207 -1.906 1.101 4.207 0.000 -2.201 4.207" Properties=species:S:1:pos:R:3 pbc="T T T"
Be 0.000 0.000 0.000
In 0.000 0.000 6.311
Ni 0.000 0.000 3.647
Ni 0.000 0.000 8.974
```

Computed properties:
- E above lowest polymorph (eV per formula unit) = 0.25
- DFT formation energy (meV/atom) = -96
- electronic total energy (eV per atom) = -4.603
- Fermi-level density of states (states/eV per atom) = 0.332



2.
The following is a DFT calculation (PBE) of a relaxed PaPO5 crystal.

```
14
Lattice="3.981 -4.125 0.000 3.981 4.125 0.000 -3.976 0.000 7.076" Properties=species:S:1:pos:R:3 pbc="T T T"
Pa 0.000 0.000 0.000
Pa -1.988 0.000 3.538
P 0.999 1.136 5.307
P 2.987 -1.136 1.769
O 2.987 3.580 1.769
O 0.282 2.038 6.353
O 1.715 2.038 4.261
O -0.045 0.246 4.597
O 1.943 -0.246 1.060
O 2.043 0.246 6.016
O 4.031 -0.246 2.478
O 2.270 -2.038 2.815
O 3.703 -2.038 0.723
O 0.999 -3.580 5.307
```

Computed properties:
- energy relative to the elements, uncorrected (kJ/mol of formula units) = -2006.5
- electronic total energy (eV per atom) = -8.642
- Fermi-level density of states (states/eV per atom) = 0.000



3.
The following is a DFT calculation (PBE) of a relaxed BaGaSe2N crystal.

```
5
Lattice="5.398 0.000 0.000 0.000 5.398 0.000 0.000 0.000 3.995" Properties=species:S:1:pos:R:3 pbc="T T T"
Ba 0.000 0.000 0.000
Ga 2.699 2.699 1.998
Se 0.000 2.699 1.998
Se 2.699 0.000 1.998
N 2.699 2.699 0.000
```

Computed properties:
- E above lowest polymorph (eV per formula unit) = 0.00
- energy relative to the elements, uncorrected (kJ/mol of formula units) = -163.2
- electronic total energy (eV per atom) = -4.387
- Fermi-level density of states (states/eV per atom) = 0.471



4.
The following is a DFT calculation (PBE) of a relaxed ZrFe2Re crystal.

```
4
Lattice="-1.598 2.207 4.269 1.598 -2.207 4.269 1.598 2.207 -4.269" Properties=species:S:1:pos:R:3 pbc="T T T"
Zr 0.000 0.000 0.000
Fe 1.598 0.000 2.233
Fe 0.000 2.207 2.036
Re 0.000 0.000 4.269
```

Computed properties:
- DFT formation energy (meV/atom) = 98
- electronic total energy (eV per atom) = -9.382
- Fermi-level density of states (states/eV per atom) = 0.823



5.
The following is a DFT calculation (PBE) of a relaxed Bi6Pd5 crystal.

```
11
Lattice="-2.444 3.516 7.453 2.444 -3.516 7.453 2.444 3.516 -7.453" Properties=species:S:1:pos:R:3 pbc="T T T"
Bi 2.444 1.768 -2.447
Bi 0.000 1.744 0.000
Bi 2.444 1.768 2.447
Bi 0.000 1.749 5.006
Bi 0.000 5.288 0.000
Bi 0.000 1.749 9.899
Pd 2.444 0.000 0.000
Pd 0.000 0.000 2.528
Pd 2.444 0.000 4.787
Pd 0.000 3.516 2.666
Pd 0.000 0.000 12.378
```

Computed properties:
- E above lowest polymorph (eV per formula unit) = 0.00
- DFT formation energy (meV/atom) = -229
- electronic total energy (eV per atom) = -4.706
- Fermi-level density of states (states/eV per atom) = 0.492



6.
The following is a DFT calculation (PBE) of a relaxed BaScCr2 crystal.

```
4
Lattice="-2.257 2.257 5.091 2.257 -2.257 5.091 2.257 2.257 -5.091" Properties=species:S:1:pos:R:3 pbc="T T T"
Ba 0.000 0.000 0.000
Sc 0.000 2.257 2.545
Cr 2.257 0.000 2.545
Cr 0.000 0.000 5.091
```

Computed properties:
- E above lowest polymorph (eV per formula unit) = 1.78
- DFT formation energy (meV/atom) = 973
- electronic total energy (eV per atom) = -5.902
- Fermi-level density of states (states/eV per atom) = 1.217



7.
The following is a DFT calculation (PBE) of a relaxed ZnCr2Tc crystal.

```
4
Lattice="0.000 2.995 2.995 2.995 0.000 2.995 2.995 2.995 0.000" Properties=species:S:1:pos:R:3 pbc="T T T"
Zn 0.000 0.000 0.000
Cr 1.497 1.497 1.497
Cr 2.995 2.995 2.995
Tc 4.492 4.492 4.492
```

Computed properties:
- DFT formation energy (meV/atom) = 170
- electronic total energy (eV per atom) = -7.552
- Fermi-level density of states (states/eV per atom) = 0.724



8.
The following is a DFT calculation (PBE) of a relaxed Ba2SnGe3 crystal.

```
12
Lattice="0.000 4.916 7.941 4.794 0.000 7.941 4.794 4.916 0.000" Properties=species:S:1:pos:R:3 pbc="T T T"
Ba 2.397 2.458 3.971
Ba 4.794 2.458 7.941
Ba 4.794 7.374 7.941
Ba 7.191 7.374 11.912
Sn 4.794 4.916 2.642
Sn 4.794 4.916 13.240
Ge 7.087 4.916 6.650
Ge 4.794 4.916 5.432
Ge 7.087 4.916 9.232
Ge 2.501 4.916 6.650
Ge 4.794 4.916 10.450
Ge 2.501 4.916 9.232
```

Computed properties:
- E above lowest polymorph (eV per formula unit) = 0.00
- DFT formation energy (meV/atom) = -478
- electronic total energy (eV per atom) = -4.094
- Fermi-level density of states (states/eV per atom) = 0.457



9.
The following is a DFT calculation (PBE) of a relaxed CrCuPRu2 crystal.

```
5
Lattice="4.305 0.000 0.000 0.000 4.305 0.000 0.000 0.000 4.199" Properties=species:S:1:pos:R:3 pbc="T T T"
Cr 0.000 0.000 0.000
Cu 2.153 2.153 0.000
P 0.000 0.000 2.099
Ru 0.000 2.153 2.099
Ru 2.153 0.000 2.099
```

Computed properties:
- DFT formation energy (meV/atom) = 613
- electronic total energy (eV per atom) = -6.923
- Fermi-level density of states (states/eV per atom) = 1.231



10.
The following is a DFT calculation (PBE) of a relaxed Zr2BClO crystal.

```
5
Lattice="4.552 0.000 0.000 0.000 4.552 0.000 0.000 0.000 4.104" Properties=species:S:1:pos:R:3 pbc="T T T"
Zr 0.000 2.276 0.000
Zr 2.276 0.000 0.000
B 0.000 0.000 0.000
Cl 0.000 0.000 2.052
O 2.276 2.276 2.052
```

Computed properties:
- energy relative to the elements, uncorrected (kJ/mol of formula units) = 111.3
- electronic total energy (eV per atom) = -5.885
- Fermi-level density of states (states/eV per atom) = 1.125



11.
The following is a DFT calculation (PBE) of a relaxed Tb8Hg2Bi crystal.

```
11
Lattice="4.375 -7.157 0.000 4.375 7.157 0.000 -1.842 0.000 5.348" Properties=species:S:1:pos:R:3 pbc="T T T"
Tb 0.653 1.648 3.273
Tb 4.375 3.823 0.000
Tb 0.653 -1.648 3.273
Tb 3.145 0.000 1.084
Tb 3.763 0.000 4.264
Tb 6.255 1.648 2.074
Tb 4.375 -3.823 0.000
Tb 6.255 -1.648 2.074
Hg 3.454 2.771 2.674
Hg 3.454 -2.771 2.674
Bi 0.000 0.000 0.000
```

Computed properties:
- DFT formation energy (meV/atom) = -200
- electronic total energy (eV per atom) = -3.976
- Fermi-level density of states (states/eV per atom) = 1.278



12.
The following is a DFT calculation (PBE) of a relaxed Sr4TaCd crystal.

```
6
Lattice="0.000 4.873 4.873 4.873 0.000 4.873 4.873 4.873 0.000" Properties=species:S:1:pos:R:3 pbc="T T T"
Sr 1.213 1.213 1.213
Sr 3.661 3.661 1.213
Sr 3.661 1.213 3.661
Sr 1.213 3.661 3.661
Ta 7.310 7.310 7.310
Cd 4.873 4.873 4.873
```

Computed properties:
- DFT formation energy (meV/atom) = 1023
- electronic total energy (eV per atom) = -2.226
- Fermi-level density of states (states/eV per atom) = 0.966



13.
The following is a DFT calculation (PBE) of a relaxed LiMo2As crystal.

```
4
Lattice="1.510 0.872 8.562 -1.510 0.872 8.562 0.000 -1.744 8.562" Properties=species:S:1:pos:R:3 pbc="T T T"
Li 0.000 0.000 0.000
Mo 0.000 0.000 6.159
Mo 0.000 0.000 12.753
As 0.000 0.000 19.360
```

Computed properties:
- DFT formation energy (meV/atom) = 135
- electronic total energy (eV per atom) = -6.921
- Fermi-level density of states (states/eV per atom) = 0.620



14.
The following is a DFT calculation (PBE) of a relaxed MgGa2Ag2Au5 crystal.

```
20
Lattice="9.478 0.000 0.000 0.000 9.478 0.000 0.000 0.000 4.098" Properties=species:S:1:pos:R:3 pbc="T T T"
Mg 0.000 0.000 0.000
Mg 4.739 4.739 0.000
Ga 1.185 3.554 0.000
Ga 3.554 8.293 0.000
Ga 5.924 1.185 0.000
Ga 8.293 5.924 0.000
Ag 1.632 6.371 0.000
Ag 3.106 1.632 0.000
Ag 6.371 7.845 0.000
Ag 7.845 3.106 0.000
Au 0.000 4.739 2.049
Au 0.804 1.827 2.049
Au 1.827 8.674 2.049
Au 2.912 3.935 2.049
Au 3.935 6.566 2.049
Au 4.739 0.000 2.049
Au 5.543 2.912 2.049
Au 6.566 5.543 2.049
Au 7.651 0.804 2.049
Au 8.674 7.651 2.049
```

Computed properties:
- DFT formation energy (meV/atom) = -162
- electronic total energy (eV per atom) = -3.136
- Fermi-level density of states (states/eV per atom) = 0.234



15.
The following is a DFT calculation (PBE) of a relaxed Sc2BeFeSi crystal.

```
5
Lattice="4.628 0.000 0.000 0.000 4.628 0.000 0.000 0.000 3.842" Properties=species:S:1:pos:R:3 pbc="T T T"
Sc 0.000 2.314 0.000
Sc 2.314 0.000 0.000
Be 0.000 0.000 0.000
Fe 0.000 0.000 1.921
Si 2.314 2.314 1.921
```

Computed properties:
- energy relative to the elements, uncorrected (kJ/mol of formula units) = 59.8
- electronic total energy (eV per atom) = -5.931
- Fermi-level density of states (states/eV per atom) = 0.532



16.
The following is a DFT calculation (PBE) of a relaxed PmSmZnPd crystal.

```
4
Lattice="4.582 0.000 0.000 0.000 1.952 5.498 0.000 -1.952 5.498" Properties=species:S:1:pos:R:3 pbc="T T T"
Pm 0.000 0.000 0.000
Sm 2.291 0.000 7.906
Zn 2.291 0.000 4.776
Pd 0.000 0.000 3.176
```

Computed properties:
- E above lowest polymorph (eV per formula unit) = 0.00
- DFT formation energy (meV/atom) = -557
- electronic total energy (eV per atom) = -4.541
- Fermi-level density of states (states/eV per atom) = 0.893



17.
The following is a DFT calculation (PBE) of a relaxed Li5TiPd6 crystal.

```
12
Lattice="2.157 -6.372 0.000 2.157 6.372 0.000 0.000 0.000 6.006" Properties=species:S:1:pos:R:3 pbc="T T T"
Li 0.000 0.000 0.000
Li 2.157 2.153 3.003
Li 2.157 2.127 0.000
Li 2.157 -2.127 0.000
Li 2.157 -2.153 3.003
Ti 0.000 0.000 3.003
Pd 2.157 4.266 1.503
Pd 2.157 4.266 4.503
Pd 2.157 0.000 1.496
Pd 2.157 0.000 4.510
Pd 2.157 -4.266 1.503
Pd 2.157 -4.266 4.503
```

Computed properties:
- DFT formation energy (meV/atom) = -508
- electronic total energy (eV per atom) = -4.560
- Fermi-level density of states (states/eV per atom) = 0.341



18.
The following is a DFT calculation (PBE) of a relaxed AcGa4Pd6 crystal.

```
11
Lattice="7.380 0.000 0.000 -3.690 6.391 0.000 0.000 0.000 4.065" Properties=species:S:1:pos:R:3 pbc="T T T"
Ac 0.000 0.000 0.000
Ga 0.000 4.261 0.000
Ga 2.261 1.306 2.033
Ga 5.119 1.306 2.033
Ga 3.690 3.780 2.033
Pd 0.000 2.575 2.033
Pd -1.460 5.104 2.033
Pd 3.690 0.430 0.000
Pd 2.217 2.981 0.000
Pd 1.460 5.104 2.033
Pd 5.163 2.981 0.000
```

Computed properties:
- DFT formation energy (meV/atom) = -755
- electronic total energy (eV per atom) = -5.061
- Fermi-level density of states (states/eV per atom) = 0.470



19.
The following is a DFT calculation (PBE) of a relaxed Rb3Ce2MnSe6 crystal.

```
12
Lattice="3.695 -6.397 0.000 3.695 6.397 0.000 -2.461 0.000 7.954" Properties=species:S:1:pos:R:3 pbc="T T T"
Rb 0.000 0.000 0.000
Rb 3.695 2.133 0.000
Rb 3.695 -2.133 0.000
Ce 2.465 4.265 3.977
Ce 2.465 -4.265 3.977
Mn 2.465 0.000 3.977
Se 1.271 2.066 2.448
Se 0.074 0.000 5.509
Se 1.271 -2.066 2.448
Se 3.659 2.066 5.506
Se 4.855 0.000 2.445
Se 3.659 -2.066 5.506
```

Computed properties:
- energy relative to the elements, uncorrected (kJ/mol of formula units) = -1579.7
- electronic total energy (eV per atom) = -5.102
- Fermi-level density of states (states/eV per atom) = 0.490



20.
The following is a DFT calculation (PBE) of a relaxed Tc2HgRu crystal.

```
4
Lattice="-1.446 2.367 4.744 1.446 -2.367 4.744 1.446 2.367 -4.744" Properties=species:S:1:pos:R:3 pbc="T T T"
Tc 0.000 0.000 0.000
Tc 0.000 2.367 2.651
Hg 1.446 0.000 2.648
Ru 0.000 0.000 5.256
```

Computed properties:
- DFT formation energy (meV/atom) = 562
- electronic total energy (eV per atom) = -7.015
- Fermi-level density of states (states/eV per atom) = 1.009